# CoOF3

Crystalline CoOF3 at its relaxed geometry (GGA+U, Alexandria via LeMat-Bulk).

It has space group Pm-3m (No. 221), with a = 3.839 Å, b = 3.839 Å, c = 3.839 Å, α = 90.00°, β = 90.00° and γ = 90.00°. The asymmetric unit holds Co at (0.000, 0.000, 0.000), O at (0.500, 0.500, 0.500) and F at (0.000, 0.500, 0.500).

The spin magnetization comes out at 0.556 μB/atom. The calculated total energy comes out at -15.7 eV for the cell shown.